Entry 1:
The following is a SCAN calculation of a crystal of Ga relaxed with PBEsol, from Alexandria via LeMat-Bulk.

Computed properties:
DFT formation energy: 124 meV per atom
Raw total energy: -16.22 eV/cell
SG: Fm-3m, No. 225
Density: 6.54 g cm⁻³

Cell lengths 2.9255, 2.9255, 2.9255 Å; angles 60.00, 60.00, 60.00 degrees
Closest atoms and distances in Å follow each position.
Positions (direct):
Ga  0.0000  0.0000  0.0000  12 Ga 2.93

Entry 2:
The following is a SCAN calculation of a crystal of Ga relaxed with PBEsol, from Alexandria via LeMat-Bulk.

Computed properties:
DFT formation energy: 111 meV per atom
Raw total energy: -194.82 eV/cell
SG: C2/m, No. 12
Density: 6.39 g cm⁻³

Cell lengths 6.0847, 6.0847, 7.2356 Å; angles 114.85, 114.85, 87.68 degrees
Closest atoms and distances in Å follow each position.
Positions (direct):
Ga  0.1717  0.1717  0.7008  5 Ga 2.62-2.91
Ga  0.6867  0.3133  0.5000  10 Ga 2.73-2.99
Ga  0.3133  0.6867  0.5000  10 Ga 2.73-2.99
Ga  0.2767  0.9637  0.2567  5 Ga 2.64-2.85
Ga  0.4839  0.4839  0.1811  7 Ga 2.62-2.91
Ga  0.5161  0.5161  0.8189  7 Ga 2.62-2.91
Ga  0.5000  0.0000  0.0000  10 Ga 2.69-2.99
Ga  0.0363  0.7233  0.7433  5 Ga 2.64-2.85
Ga  0.9637  0.2767  0.2567  5 Ga 2.64-2.85
Ga  0.8283  0.8283  0.2992  5 Ga 2.62-2.91
Ga  0.0000  0.5000  0.0000  10 Ga 2.69-2.99
Ga  0.7233  0.0363  0.7433  5 Ga 2.64-2.85

| no. | magnetization (μB/atom) | energy above the most stable polymorph in this dataset (eV per atom) |
| --- | --- | --- |
| 1 | 0.00 | 0.124 |
| 2 | 0.00 | 0.111 |